# 1
DFT (GGA-PBE) results for a relaxed TaReAs2 crystal.

Unit cell a=10.2734 b=10.2734 c=10.2734 alpha=16.80 beta=16.80 gamma=16.80
Fractional positions:
Ta (0.0000, 0.0000, 0.0000)
Re (0.2602, 0.2602, 0.2602)
As (0.5313, 0.5313, 0.5313)
As (0.7369, 0.7369, 0.7369)

Output
Formation energy from the elements (meV/atom): -17
E above lowest polymorph (eV per atom): 0.075
Symmetry: R3m, No. 160

# 2
DFT (GGA-PBE) results for a relaxed Sr2Mg4InGa3 crystal.

Unit cell a=4.6566 b=4.6566 c=11.8633 alpha=90.00 beta=90.00 gamma=90.00
Fractional positions:
Sr (0.0000, 0.5000, 0.2449)
Sr (0.5000, 0.0000, 0.7551)
Mg (0.0000, 0.0000, 0.0000)
Mg (0.0000, 0.5000, 0.6410)
Mg (0.5000, 0.0000, 0.3590)
Mg (0.5000, 0.5000, 0.0000)
In (0.0000, 0.0000, 0.5000)
Ga (0.0000, 0.5000, 0.8677)
Ga (0.5000, 0.0000, 0.1323)
Ga (0.5000, 0.5000, 0.5000)

Output
Formation energy from the elements (meV/atom): -263
Symmetry: P-4m2, No. 115

# 3
DFT (GGA-PBE) results for a relaxed Sm2AlZn3Cu4 crystal.

Unit cell a=4.0043 b=4.0043 c=11.0457 alpha=90.00 beta=90.00 gamma=90.00
Fractional positions:
Sm (0.0000, 0.5000, 0.2489)
Sm (0.5000, 0.0000, 0.7511)
Al (0.0000, 0.0000, 0.5000)
Zn (0.0000, 0.5000, 0.8658)
Zn (0.5000, 0.0000, 0.1342)
Zn (0.5000, 0.5000, 0.5000)
Cu (0.0000, 0.0000, 0.0000)
Cu (0.0000, 0.5000, 0.6405)
Cu (0.5000, 0.0000, 0.3595)
Cu (0.5000, 0.5000, 0.0000)

Output
Formation energy from the elements (meV/atom): -268
Symmetry: P-4m2, No. 115

# 4
DFT (GGA-PBE) results for a relaxed Ti3HgH3 crystal.

Unit cell a=5.3589 b=5.3589 c=5.3589 alpha=90.00 beta=90.00 gamma=90.00
Fractional positions:
Ti (0.0000, 0.2500, 0.5000)
Ti (0.0000, 0.7500, 0.5000)
Ti (0.2500, 0.5000, 0.0000)
Ti (0.5000, 0.0000, 0.2500)
Ti (0.5000, 0.0000, 0.7500)
Ti (0.7500, 0.5000, 0.0000)
Hg (0.0000, 0.0000, 0.0000)
Hg (0.5000, 0.5000, 0.5000)
H (0.0000, 0.5000, 0.2500)
H (0.0000, 0.5000, 0.7500)
H (0.2500, 0.0000, 0.5000)
H (0.5000, 0.2500, 0.0000)
H (0.5000, 0.7500, 0.0000)
H (0.7500, 0.0000, 0.5000)

Output
Total DFT energy (no corrections) (eV per formula unit): -36.55
Symmetry: Pm-3n, No. 223

# 5
DFT (GGA-PBE) results for a relaxed LaNdSmAg crystal.

Unit cell a=3.7511 b=3.7511 c=8.7324 alpha=90.00 beta=90.00 gamma=90.00
Fractional positions:
La (0.0000, 0.0000, 0.0000)
Nd (0.5000, 0.5000, 0.2919)
Sm (0.5000, 0.5000, 0.7124)
Ag (0.0000, 0.0000, 0.5079)

Output
Formation energy from the elements (meV/atom): -112
E above lowest polymorph (eV per atom): 0.000
Symmetry: P4mm, No. 99

# 6
DFT (GGA-PBE) results for a relaxed Ba2Li3TmF12 crystal.

Unit cell a=7.2490 b=7.2490 c=7.2490 alpha=57.07 beta=57.07 gamma=57.07
Fractional positions:
Ba (0.1078, 0.1078, 0.1078)
Ba (0.8922, 0.8922, 0.8922)
Li (0.0000, 0.5000, 0.5000)
Li (0.5000, 0.0000, 0.5000)
Li (0.5000, 0.5000, 0.0000)
Tm (0.5000, 0.5000, 0.5000)
F (0.1077, 0.6320, 0.6320)
F (0.2222, 0.2222, 0.6468)
F (0.2222, 0.6468, 0.2222)
F (0.3532, 0.7778, 0.7778)
F (0.3680, 0.3680, 0.8923)
F (0.3680, 0.8923, 0.3680)
F (0.6320, 0.1077, 0.6320)
F (0.6320, 0.6320, 0.1077)
F (0.6468, 0.2222, 0.2222)
F (0.7778, 0.3532, 0.7778)
F (0.7778, 0.7778, 0.3532)
F (0.8923, 0.3680, 0.3680)

Output
ΔE_f (raw) (meV/atom): -3053
Symmetry: R-3m, No. 166

# 7
DFT (GGA-PBE) results for a relaxed RbZnO2F crystal.

Unit cell a=3.9483 b=3.9483 c=4.7208 alpha=90.00 beta=90.00 gamma=90.00
Fractional positions:
Rb (0.0000, 0.0000, 0.0000)
Zn (0.5000, 0.5000, 0.5000)
O (0.0000, 0.5000, 0.5000)
O (0.5000, 0.0000, 0.5000)
F (0.5000, 0.5000, 0.0000)

Output
ΔE_f (raw) (meV/atom): -1145
Symmetry: P4/mmm, No. 123

# 8
DFT (GGA-PBE) results for a relaxed Sr2NpSb3Rh4 crystal.

Unit cell a=4.5308 b=4.5308 c=11.1854 alpha=90.00 beta=90.00 gamma=90.00
Fractional positions:
Sr (0.0000, 0.5000, 0.2342)
Sr (0.5000, 0.0000, 0.7658)
Np (0.0000, 0.0000, 0.5000)
Sb (0.0000, 0.5000, 0.8735)
Sb (0.5000, 0.0000, 0.1265)
Sb (0.5000, 0.5000, 0.5000)
Rh (0.0000, 0.0000, 0.0000)
Rh (0.0000, 0.5000, 0.6378)
Rh (0.5000, 0.0000, 0.3622)
Rh (0.5000, 0.5000, 0.0000)

Output
ΔE_f (raw) (meV/atom): -649
Symmetry: P-4m2, No. 115

# 9
DFT (GGA-PBE) results for a relaxed AcPd crystal.

Unit cell a=4.4177 b=4.4177 c=4.4177 alpha=60.00 beta=60.00 gamma=60.00
Fractional positions:
Ac (0.0000, 0.0000, 0.0000)
Pd (0.5000, 0.5000, 0.5000)

Output
Formation energy from the elements (meV/atom): -782
Symmetry: Fm-3m, No. 225

# 10
DFT (GGA-PBE) results for a relaxed SrSc2Ta crystal.

Unit cell a=5.3228 b=5.3228 c=6.8798 alpha=93.89 beta=93.89 gamma=34.38
Fractional positions:
Sr (0.0000, 0.0000, 0.0000)
Sc (0.5100, 0.5100, 0.5461)
Sc (0.7617, 0.7617, 0.3335)
Ta (0.2453, 0.2453, 0.6891)

Output
Formation energy from the elements (meV/atom): 479
E above lowest polymorph (eV per atom): 0.161
Symmetry: Cm, No. 8

# 11
DFT (GGA-PBE) results for a relaxed Zr2ScRe crystal.

Unit cell a=5.8317 b=5.8317 c=5.8317 alpha=146.13 beta=131.18 gamma=60.74
Fractional positions:
Zr (0.0000, 0.0000, 0.0000)
Zr (0.7150, 0.2150, 0.5000)
Sc (0.2851, 0.7851, 0.5000)
Re (0.5059, 0.5059, 0.0000)

Output
Formation energy from the elements (meV/atom): -122
Symmetry: Imm2, No. 44

# 12
DFT (GGA-PBE) results for a relaxed HoEr6Sc crystal.

Unit cell a=6.4183 b=6.6623 c=6.7324 alpha=118.37 beta=102.48 gamma=91.98
Fractional positions:
Ho (0.0000, 0.0000, 0.0000)
Er (0.2384, 0.5811, 0.4902)
Er (0.2521, 0.5596, 0.0037)
Er (0.2730, 0.0949, 0.5310)
Er (0.7270, 0.9051, 0.4690)
Er (0.7479, 0.4404, 0.9963)
Er (0.7616, 0.4189, 0.5098)
Sc (0.5000, 0.0000, 0.0000)

Output
Formation energy from the elements (meV/atom): 212
E above lowest polymorph (eV per atom): 0.007
Symmetry: P-1, No. 2

no.,total magnetic moment (μB per cell)
1,0.00
2,0.00
3,0.00
4,1.09
5,0.00
6,2.08
7,1.57
8,3.77
9,0.00
10,0.00
11,0.00
12,0.00